Compound: BeIn2
Source: the Alexandria database
Functional: PBE
Structure: relaxed

Summary:
Energy above the most stable polymorph in this dataset, meV/atom: 0
Symmetry: P-1 (2)
Formation energy, eV/atom: 0.234
Total magnetic moment, μB per formula unit: 0.000

Cell: 3.9254 4.8523 6.6771 Å, 100.89 90.10 90.00°
Fractional positions:
Be1 0.2500 0.8855 0.4702
Be2 0.7501 0.1145 0.5298
In1 0.2491 0.3424 0.3152
In2 0.7509 0.6576 0.6848
In3 0.7487 0.8020 0.1530
In4 0.2513 0.1980 0.8470



Compound: Be5In
Source: the Alexandria database
Functional: PBE
Structure: relaxed

Summary:
Symmetry: P4/mmm (123)
Formation energy, eV/atom: 0.405
Total magnetic moment, μB per formula unit: 0.000

Cell: 2.6749 2.6749 9.7478 Å, 90.00 90.00 90.00°
Fractional positions:
Be1 0.0000 0.0000 0.7473
Be2 0.0000 0.0000 0.2527
Be3 0.5000 0.5000 0.6248
Be4 0.5000 0.5000 0.3752
Be5 0.0000 0.0000 0.5000
In1 0.5000 0.5000 0.0000



Compound: Be5In
Source: the Alexandria database
Functional: PBE
Structure: relaxed

Summary:
Symmetry: Amm2 (38)
Formation energy, eV/atom: 0.352
Total magnetic moment, μB per formula unit: 0.000

Cell: 7.5717 7.5717 3.5522 Å, 90.00 90.00 160.26°
Fractional positions:
Be1 0.9440 0.0560 0.0000
Be2 0.3271 0.6729 0.0000
Be3 0.7095 0.2905 0.0000
Be4 0.4346 0.5654 0.5000
Be5 0.8163 0.1837 0.5000
In1 0.1019 0.8981 0.5000



Compound: BeIn2
Source: the Alexandria database
Functional: PBE
Structure: relaxed

Summary:
Energy above the most stable polymorph in this dataset, meV/atom: 183
Symmetry: I4/mmm (139)
Formation energy, eV/atom: 0.417
Total magnetic moment, μB per formula unit: 0.000

Cell: 6.5898 6.5898 6.5898 Å, 152.43 152.43 39.39°
Fractional positions:
Be1 0.5000 0.5000 0.0000
In1 0.1416 0.1416 0.0000
In2 0.8584 0.8584 0.0000



Compound: BeIn2
Source: the Alexandria database
Functional: PBE
Structure: relaxed

Summary:
Energy above the most stable polymorph in this dataset, meV/atom: 210
Symmetry: P6_3/mmc (194)
Formation energy, eV/atom: 0.444
Total magnetic moment, μB per formula unit: 0.000

Cell: 4.3887 4.3887 7.7298 Å, 90.00 90.00 120.00°
Fractional positions:
Be1 0.6667 0.3333 0.2500
Be2 0.3333 0.6667 0.7500
In1 0.0000 0.0000 0.0000
In2 0.0000 0.0000 0.5000
In3 0.3333 0.6667 0.2500
In4 0.6667 0.3333 0.7500



Compound: BeIn4
Source: the Alexandria database
Functional: PBE
Structure: relaxed

Summary:
Energy above the most stable polymorph in this dataset, meV/atom: 29
Symmetry: Pm-3m (221)
Formation energy, eV/atom: 0.269
Total magnetic moment, μB per formula unit: 0.000

Cell: 5.0251 5.0251 5.0251 Å, 90.00 90.00 90.00°
Fractional positions:
Be1 0.5000 0.5000 0.5000
In1 0.0000 0.0000 0.0000
In2 0.5000 0.0000 0.5000
In3 0.0000 0.5000 0.5000
In4 0.5000 0.5000 0.0000



Compound: BeIn2
Source: the Alexandria database
Functional: PBE
Structure: relaxed

Summary:
Energy above the most stable polymorph in this dataset, meV/atom: 228
Symmetry: Cmcm (63)
Formation energy, eV/atom: 0.462
Total magnetic moment, μB per formula unit: 0.000

Cell: 6.9105 6.9105 5.8248 Å, 90.00 90.00 152.74°
Fractional positions:
Be1 0.6272 0.3728 0.7500
Be2 0.3728 0.6272 0.2500
In1 0.9729 0.0271 0.7500
In2 0.2792 0.7208 0.7500
In3 0.7208 0.2792 0.2500
In4 0.0271 0.9729 0.2500



Compound: Be5In
Source: the Alexandria database
Functional: PBE
Structure: relaxed

Summary:
Symmetry: Cm (8)
Formation energy, eV/atom: 0.511
Total magnetic moment, μB per formula unit: 0.000

Cell: 4.9230 4.9230 6.0380 Å, 68.95 68.95 30.26°
Fractional positions:
Be1 0.9839 0.9839 0.9457
Be2 0.6730 0.6730 0.6440
Be3 0.3659 0.3659 0.3479
Be4 0.3916 0.3916 0.7043
Be5 0.0565 0.0565 0.4534
In1 0.6957 0.6957 0.0715



Compound: BeIn2
Source: the Alexandria database
Functional: PBE
Structure: relaxed

Summary:
Energy above the most stable polymorph in this dataset, meV/atom: 36
Symmetry: Imm2 (44)
Formation energy, eV/atom: 0.270
Total magnetic moment, μB per formula unit: 0.000

Cell: 10.7160 3.8437 6.1315 Å, 90.00 90.00 90.00°
Fractional positions:
Be1 0.6035 0.0000 0.2852
Be2 0.3965 0.0000 0.2852
Be3 0.1035 0.5000 0.7852
Be4 0.8965 0.5000 0.7852
In1 0.0000 0.0000 0.0141
In2 0.5000 0.5000 0.5141
In3 0.0000 0.5000 0.4088
In4 0.5000 0.0000 0.9088
In5 0.7652 0.0000 0.5941
In6 0.2348 0.0000 0.5941
In7 0.2652 0.5000 0.0941
In8 0.7348 0.5000 0.0941



Compound: BeIn2
Source: the Alexandria database
Functional: PBE
Structure: relaxed

Summary:
Energy above the most stable polymorph in this dataset, meV/atom: 80
Symmetry: I4/mcm (140)
Formation energy, eV/atom: 0.314
Total magnetic moment, μB per formula unit: 0.000

Cell: 5.4690 5.4690 5.4690 Å, 102.59 102.59 124.35°
Fractional positions:
Be1 0.2500 0.2500 0.0000
Be2 0.7500 0.7500 0.0000
In1 0.6623 0.8377 0.5000
In2 0.3377 0.1623 0.5000
In3 0.8377 0.3377 0.1753
In4 0.1623 0.6623 0.8247



Compound: BeIn2
Source: the Alexandria database
Functional: PBE
Structure: relaxed

Summary:
Energy above the most stable polymorph in this dataset, meV/atom: 55
Symmetry: P2_1/m (11)
Formation energy, eV/atom: 0.289
Total magnetic moment, μB per formula unit: 0.000

Cell: 5.8879 3.2545 6.5397 Å, 90.00 99.30 90.00°
Fractional positions:
Be1 0.3604 0.2500 0.4860
Be2 0.6396 0.7500 0.5140
In1 0.8844 0.2500 0.2926
In2 0.1156 0.7500 0.7074
In3 0.6648 0.2500 0.8426
In4 0.3352 0.7500 0.1574



Compound: BeIn2
Source: the Alexandria database
Functional: PBE
Structure: relaxed

Summary:
Energy above the most stable polymorph in this dataset, meV/atom: 114
Symmetry: Cm (8)
Formation energy, eV/atom: 0.348
Total magnetic moment, μB per formula unit: 0.000

Cell: 7.0694 7.0694 6.2091 Å, 75.22 75.22 25.99°
Fractional positions:
Be1 0.9360 0.9360 0.9270
Be2 0.4567 0.4567 0.6555
In1 0.6531 0.6531 0.3861
In2 0.5913 0.5913 0.8935
In3 0.9186 0.9186 0.3503
In4 0.2776 0.2776 0.9543



Compound: Be4In
Source: the Alexandria database
Functional: PBE
Structure: relaxed

Summary:
Energy above the most stable polymorph in this dataset, meV/atom: 1094
Symmetry: Pm-3m (221)
Formation energy, eV/atom: 1.571
Total magnetic moment, μB per formula unit: 0.000

Cell: 4.5094 4.5094 4.5094 Å, 90.00 90.00 90.00°
Fractional positions:
Be1 0.0000 0.0000 0.0000
Be2 0.5000 0.0000 0.5000
Be3 0.0000 0.5000 0.5000
Be4 0.5000 0.5000 0.0000
In1 0.5000 0.5000 0.5000



Compound: BeIn2
Source: the Alexandria database
Functional: PBE
Structure: relaxed

Summary:
Energy above the most stable polymorph in this dataset, meV/atom: 2
Symmetry: P2_1/m (11)
Formation energy, eV/atom: 0.236
Total magnetic moment, μB per formula unit: 0.000

Cell: 4.0935 4.6668 6.8732 Å, 90.00 107.49 90.00°
Fractional positions:
Be1 0.0000 0.0000 0.5000
Be2 0.0000 0.5000 0.5000
In1 0.8159 0.2500 0.1304
In2 0.1841 0.7500 0.8696
In3 0.5888 0.2500 0.6750
In4 0.4112 0.7500 0.3250



Compound: Be2In3
Source: the Alexandria database
Functional: PBE
Structure: relaxed

Summary:
Symmetry: R-3m (166)
Formation energy, eV/atom: 0.467
Total magnetic moment, μB per formula unit: 0.000

Cell: 10.4599 10.4599 10.4599 Å, 18.11 18.11 18.11°
Fractional positions:
Be1 0.3966 0.3966 0.3966
Be2 0.6034 0.6034 0.6034
In1 0.0000 0.0000 0.0000
In2 0.7912 0.7912 0.7912
In3 0.2088 0.2088 0.2088



Compound: Be5In4
Source: the Alexandria database
Functional: PBE
Structure: relaxed

Summary:
Symmetry: P6_3/mcm (193)
Formation energy, eV/atom: 0.725
Total magnetic moment, μB per formula unit: 0.000

Cell: 7.4143 7.4143 6.4778 Å, 90.00 90.00 120.00°
Fractional positions:
Be1 0.0000 0.6859 0.2500
Be2 0.3141 0.3141 0.2500
Be3 0.6859 0.0000 0.2500
Be4 0.0000 0.3141 0.7500
Be5 0.6859 0.6859 0.7500
Be6 0.3141 0.0000 0.7500
Be7 0.6667 0.3333 0.0000
Be8 0.3333 0.6667 0.5000
Be9 0.3333 0.6667 0.0000
Be10 0.6667 0.3333 0.5000
In1 0.0000 0.0000 0.0000
In2 0.0000 0.0000 0.5000
In3 0.0000 0.3643 0.2500
In4 0.6357 0.6357 0.2500
In5 0.3643 0.0000 0.2500
In6 0.0000 0.6357 0.7500
In7 0.3643 0.3643 0.7500
In8 0.6357 0.0000 0.7500



Compound: BeIn2
Source: the Alexandria database
Functional: PBE
Structure: relaxed

Summary:
Energy above the most stable polymorph in this dataset, meV/atom: 65
Symmetry: C2/m (12)
Formation energy, eV/atom: 0.299
Total magnetic moment, μB per formula unit: 0.000

Cell: 6.3380 6.3380 6.6662 Å, 62.07 62.07 32.06°
Fractional positions:
Be1 0.4060 0.4060 0.0209
Be2 0.5940 0.5940 0.9791
In1 0.0544 0.0544 0.6890
In2 0.7095 0.7095 0.2292
In3 0.9456 0.9456 0.3110
In4 0.2905 0.2905 0.7708



Compound: BeIn2
Source: the Alexandria database
Functional: PBE
Structure: relaxed

Summary:
Energy above the most stable polymorph in this dataset, meV/atom: 42
Symmetry: C2/m (12)
Formation energy, eV/atom: 0.276
Total magnetic moment, μB per formula unit: 0.000

Cell: 6.7473 3.3819 12.2563 Å, 90.00 115.06 90.00°
Fractional positions:
Be1 0.0256 0.0000 0.9166
Be2 0.9744 0.0000 0.0834
Be3 0.0256 0.5000 0.4166
Be4 0.9744 0.5000 0.5834
In1 0.2939 0.0000 0.5967
In2 0.7061 0.0000 0.4033
In3 0.2939 0.5000 0.0967
In4 0.7061 0.5000 0.9033
In5 0.7739 0.0000 0.6789
In6 0.2261 0.0000 0.3211
In7 0.7739 0.5000 0.1789
In8 0.2261 0.5000 0.8211



Compound: BeInIr2
Source: the Alexandria database
Functional: PBE
Structure: relaxed

Summary:
Symmetry: Immm (71)
Formation energy, eV/atom: -0.069
Total magnetic moment, μB per formula unit: 0.000

Cell: 5.0430 5.0430 5.0430 Å, 146.42 124.32 66.61°
Fractional positions:
Be1 0.7500 0.2500 0.5000
Ir1 0.9653 0.9653 0.0000
Ir2 0.5347 0.5347 0.0000
In1 0.2500 0.7500 0.5000



Compound: BeInIr2
Source: the Alexandria database
Functional: PBE
Structure: relaxed

Summary:
Symmetry: R3m (160)
Formation energy, eV/atom: 0.215
Total magnetic moment, μB per formula unit: 0.003

Cell: 8.6586 8.6586 8.6586 Å, 19.03 19.03 19.03°
Fractional positions:
Be1 0.5093 0.5093 0.5093
Ir1 0.9948 0.9948 0.9948
Ir2 0.2421 0.2421 0.2421
In1 0.7538 0.7538 0.7538



Compound: BeInIr2
Source: the Alexandria database
Functional: PBE
Structure: relaxed

Summary:
Symmetry: F-43m (216)
Formation energy, eV/atom: 0.265
Total magnetic moment, μB per formula unit: 0.002

Cell: 4.4022 4.4022 4.4022 Å, 60.00 60.00 60.00°
Fractional positions:
Be1 0.5000 0.5000 0.5000
Ir1 0.0000 0.0000 0.0000
Ir2 0.2500 0.2500 0.2500
In1 0.7500 0.7500 0.7500



Compound: BeInIr2
Source: the Alexandria database
Functional: PBE
Structure: relaxed

Summary:
Symmetry: I-42d (122)
Formation energy, eV/atom: 0.308
Total magnetic moment, μB per formula unit: 0.000

Cell: 4.3350 4.3350 8.3934 Å, 75.03 75.03 90.00°
Fractional positions:
Be1 0.5000 0.5000 0.0000
Be2 0.2500 0.7500 0.5000
Ir1 0.5080 0.1250 0.2500
Ir2 0.2420 0.6250 0.2500
Ir3 0.3750 0.4920 0.7500
Ir4 0.8750 0.7580 0.7500
In1 0.0000 0.0000 0.0000
In2 0.7500 0.2500 0.5000



Compound: Be4InIr
Source: the Alexandria database
Functional: PBE
Structure: relaxed

Summary:
Symmetry: F-43m (216)
Formation energy, eV/atom: -0.225
Total magnetic moment, μB per formula unit: 0.000

Cell: 4.5118 4.5118 4.5118 Å, 60.00 60.00 60.00°
Fractional positions:
Be1 0.6263 0.6263 0.1212
Be2 0.6263 0.1212 0.6263
Be3 0.6263 0.6263 0.6263
Be4 0.1212 0.6263 0.6263
In1 0.2500 0.2500 0.2500
Ir1 0.0000 0.0000 0.0000



Compound: BeIn2Ir
Source: the Alexandria database
Functional: PBE
Structure: relaxed

Summary:
Symmetry: R-3m (166)
Formation energy, eV/atom: 0.357
Total magnetic moment, μB per formula unit: 0.000

Cell: 8.5194 8.5194 8.5194 Å, 21.07 21.07 21.07°
Fractional positions:
Be1 0.7500 0.7500 0.7500
Ir1 0.2500 0.2500 0.2500
In1 0.0027 0.0027 0.0027
In2 0.4973 0.4973 0.4973



Compound: BeIn2Ir
Source: the Alexandria database
Functional: PBE
Structure: relaxed

Summary:
Symmetry: Pmmm (47)
Formation energy, eV/atom: 0.199
Total magnetic moment, μB per formula unit: 0.000

Cell: 3.7972 3.1869 6.4376 Å, 60.36 90.00 90.00°
Fractional positions:
Be1 0.5000 0.7500 0.7500
Ir1 0.5000 0.2500 0.2500
In1 0.0000 0.0015 0.9969
In2 0.0000 0.4985 0.5031



Compound: BeInIr2
Source: the Alexandria database
Functional: PBE
Structure: relaxed

Summary:
Symmetry: P2/m (10)
Formation energy, eV/atom: -0.150
Total magnetic moment, μB per formula unit: 0.000

Cell: 3.7904 2.9178 5.5264 Å, 73.36 90.00 90.00°
Fractional positions:
Be1 0.5000 0.2500 0.2500
Ir1 0.0000 0.1100 0.0345
Ir2 0.0000 0.3900 0.4655
In1 0.5000 0.7500 0.7500



Compound: BeIn2Ir
Source: the Alexandria database
Functional: PBE
Structure: relaxed

Summary:
Symmetry: I-42d (122)
Formation energy, eV/atom: 0.573
Total magnetic moment, μB per formula unit: 0.000

Cell: 7.4417 7.4417 5.9138 Å, 51.01 51.01 90.00°
Fractional positions:
Be1 0.5000 0.5000 0.0000
Be2 0.2500 0.7500 0.5000
Ir1 0.0000 0.0000 0.0000
Ir2 0.7500 0.2500 0.5000
In1 0.6178 0.1250 0.2500
In2 0.1322 0.6250 0.2500
In3 0.3750 0.3822 0.7500
In4 0.8750 0.8678 0.7500